Record 1
DFT (PBE) results for an optimized crystal structure of Si4W3.

Calculated values
Electronic total energy   -8.959 eV per atom
Polymorph energy (0 for the lowest one)   0 meV/atom
Formation energy from raw total energies   -208 kJ/mol of formula units
SG   I4/mmm

Cell: 9.8462 9.8462 9.8462 Å, 161.31 161.31 26.55°
Fractional positions:
1 Si 0.0688 0.0688 0.0000
2 Si 0.3597 0.3597 0.0000
3 Si 0.6403 0.6403 0.0000
4 Si 0.9312 0.9312 0.0000
5 W 0.2048 0.2048 0.0000
6 W 0.5000 0.5000 0.0000
7 W 0.7952 0.7952 0.0000


Record 2
DFT (PBE) results for an optimized crystal structure of SiW.

Calculated values
Electronic total energy   -9.146 eV per atom
Formation energy from raw total energies   8 kJ/mol of formula units
SG   Pnma

Cell: 9.5759 4.5435 5.3833 Å, 90.00 90.00 90.00°
Fractional positions:
1 Si 0.0718 0.2500 0.0037
2 Si 0.1672 0.7500 0.7265
3 Si 0.3328 0.2500 0.2265
4 Si 0.4282 0.7500 0.5037
5 Si 0.5718 0.2500 0.4963
6 Si 0.6672 0.7500 0.7735
7 Si 0.8328 0.2500 0.2735
8 Si 0.9282 0.7500 0.9963
9 W 0.0898 0.2500 0.4884
10 W 0.1657 0.7500 0.2149
11 W 0.3343 0.2500 0.7149
12 W 0.4102 0.7500 0.9884
13 W 0.5898 0.2500 0.0116
14 W 0.6657 0.7500 0.2851
15 W 0.8343 0.2500 0.7851
16 W 0.9102 0.7500 0.5115


Record 3
DFT (PBE) results for an optimized crystal structure of Si4W.

Calculated values
Electronic total energy   -5.961 eV per atom
Polymorph energy (0 for the lowest one)   728 meV/atom
Formation energy from raw total energies   467 kJ/mol of formula units
SG   Pm-3m

Cell: 4.7643 4.7643 4.7643 Å, 90.00 90.00 90.00°
Fractional positions:
1 Si 0.0000 0.0000 0.0000
2 Si 0.0000 0.5000 0.5000
3 Si 0.5000 0.0000 0.5000
4 Si 0.5000 0.5000 0.0000
5 W 0.5000 0.5000 0.5000


Record 4
DFT (PBE) results for an optimized crystal structure of SiW.

Calculated values
Electronic total energy   -8.739 eV per atom
Formation energy from raw total energies   87 kJ/mol of formula units
SG   I4/m

Cell: 5.8066 5.8066 5.8066 Å, 99.36 99.36 132.44°
Fractional positions:
1 Si 0.0855 0.2101 0.2956
2 Si 0.2101 0.9145 0.1246
3 Si 0.7899 0.0855 0.8754
4 Si 0.9145 0.7899 0.7044
5 W 0.1663 0.5952 0.7615
6 W 0.4048 0.1663 0.5711
7 W 0.5952 0.8337 0.4289
8 W 0.8337 0.4048 0.2385


Record 5
DFT (PBE) results for an optimized crystal structure of SiW.

Calculated values
Electronic total energy   -8.823 eV per atom
Formation energy from raw total energies   70 kJ/mol of formula units
SG   P4/nmm

Cell: 2.6910 2.6910 8.3116 Å, 90.00 90.00 90.00°
Fractional positions:
1 Si 0.2500 0.2500 0.1245
2 Si 0.7500 0.7500 0.8755
3 W 0.2500 0.2500 0.6368
4 W 0.7500 0.7500 0.3632


Record 6
DFT (PBE) results for an optimized crystal structure of Si4W5.

Calculated values
Electronic total energy   -9.569 eV per atom
Polymorph energy (0 for the lowest one)   0 meV/atom
Formation energy from raw total energies   32 kJ/mol of formula units
SG   P6_3/mcm

Cell: 7.6943 7.6943 5.0816 Å, 90.00 90.00 120.00°
Fractional positions:
1 Si 0.0000 0.0000 0.0000
2 Si 0.0000 0.0000 0.5000
3 Si 0.0000 0.3904 0.2500
4 Si 0.0000 0.6096 0.7500
5 Si 0.3904 0.0000 0.2500
6 Si 0.3904 0.3904 0.7500
7 Si 0.6096 0.0000 0.7500
8 Si 0.6096 0.6096 0.2500
9 W 0.0000 0.2822 0.7500
10 W 0.0000 0.7178 0.2500
11 W 0.2822 0.0000 0.7500
12 W 0.2822 0.2822 0.2500
13 W 0.3333 0.6667 0.0000
14 W 0.3333 0.6667 0.5000
15 W 0.6667 0.3333 0.0000
16 W 0.6667 0.3333 0.5000
17 W 0.7178 0.0000 0.2500
18 W 0.7178 0.7178 0.7500


Record 7
DFT (PBE) results for an optimized crystal structure of Si8W.

Calculated values
Electronic total energy   -5.879 eV per atom
Formation energy from raw total energies   331 kJ/mol of formula units
SG   I4/mmm

Cell: 6.0027 6.0027 6.0027 Å, 96.45 96.45 140.83°
Fractional positions:
1 Si 0.0000 0.3305 0.3305
2 Si 0.0000 0.6695 0.6695
3 Si 0.3305 0.0000 0.3305
4 Si 0.3398 0.3398 0.6796
5 Si 0.3398 0.6602 0.0000
6 Si 0.6602 0.3398 0.0000
7 Si 0.6602 0.6602 0.3204
8 Si 0.6695 0.0000 0.6695
9 W 0.0000 0.0000 0.0000


Record 8
DFT (PBE) results for an optimized crystal structure of Si4W.

Calculated values
Electronic total energy   -6.689 eV per atom
Polymorph energy (0 for the lowest one)   0 meV/atom
Formation energy from raw total energies   116 kJ/mol of formula units
SG   I4/m

Cell: 4.7449 4.7449 4.7449 Å, 98.16 98.16 135.73°
Fractional positions:
1 Si 0.1144 0.6856 0.8000
2 Si 0.3144 0.1144 0.4287
3 Si 0.6856 0.8856 0.5713
4 Si 0.8856 0.3144 0.2000
5 W 0.5000 0.5000 0.0000


Record 9
DFT (PBE) results for an optimized crystal structure of Si2W.

Calculated values
Electronic total energy   -7.822 eV per atom
Polymorph energy (0 for the lowest one)   460 meV/atom
Formation energy from raw total energies   32 kJ/mol of formula units
SG   P-62m

Cell: 7.0184 7.0184 3.1335 Å, 90.00 90.00 120.00°
Fractional positions:
1 Si 0.0000 0.2772 0.0000
2 Si 0.0000 0.6293 0.5000
3 Si 0.2772 0.0000 0.0000
4 Si 0.3707 0.3707 0.5000
5 Si 0.6293 0.0000 0.5000
6 Si 0.7228 0.7228 0.0000
7 W 0.0000 0.0000 0.5000
8 W 0.3333 0.6667 0.0000
9 W 0.6667 0.3333 0.0000


Record 10
DFT (PBE) results for an optimized crystal structure of Si2W.

Calculated values
Electronic total energy   -7.833 eV per atom
Polymorph energy (0 for the lowest one)   449 meV/atom
Formation energy from raw total energies   29 kJ/mol of formula units
SG   P-3m1

Cell: 2.9497 2.9497 5.8552 Å, 90.00 90.00 120.00°
Fractional positions:
1 Si 0.3333 0.6667 0.3310
2 Si 0.6667 0.3333 0.6690
3 W 0.0000 0.0000 0.0000


Record 11
DFT (PBE) results for an optimized crystal structure of Si6W7.

Calculated values
Electronic total energy   -9.132 eV per atom
Formation energy from raw total energies   434 kJ/mol of formula units
SG   R-3m

Cell: 9.2364 9.2364 9.2364 Å, 33.42 33.42 33.42°
Fractional positions:
1 Si 0.0480 0.0480 0.0480
2 Si 0.1662 0.1662 0.1662
3 Si 0.3334 0.3334 0.3334
4 Si 0.6666 0.6666 0.6666
5 Si 0.8338 0.8338 0.8338
6 Si 0.9520 0.9520 0.9520
7 W 0.0790 0.5818 0.5818
8 W 0.4182 0.4182 0.9210
9 W 0.4182 0.9210 0.4182
10 W 0.5000 0.5000 0.5000
11 W 0.5818 0.0790 0.5818
12 W 0.5818 0.5818 0.0790
13 W 0.9210 0.4182 0.4182


Record 12
DFT (PBE) results for an optimized crystal structure of Si2W.

Calculated values
Electronic total energy   -7.603 eV per atom
Polymorph energy (0 for the lowest one)   679 meV/atom
Formation energy from raw total energies   96 kJ/mol of formula units
SG   P6/mmm

Cell: 4.3619 4.3619 2.5747 Å, 90.00 90.00 120.00°
Fractional positions:
1 Si 0.3333 0.6667 0.0000
2 Si 0.6667 0.3333 0.0000
3 W 0.0000 0.0000 0.5000